! BaMoOs | the Alexandria database | GGA-PBE | optimized geometry; values from VASP
&SYSTEM
  ibrav = 0, nat = 3, ntyp = 3
/
ATOMIC_SPECIES
Ba 137.33 Ba.upf
Mo 95.94 Mo.upf
Os 190.23 Os.upf
CELL_PARAMETERS angstrom
4.187 0.000 0.000
-2.094 3.626 0.000
0.000 0.000 5.437
ATOMIC_POSITIONS crystal
Ba 0.000 0.000 0.000
Mo 0.667 0.333 0.482
Os 0.333 0.667 0.532
! Crystal system: trigonal
! Total moment: 0.00 μB per formula unit
! SG: No. 156
! Relative energy among the computed polymorphs: 0.0 meV/atom